No. 1
VASP calculation (meta-GGA SCAN) on a crystal of CaCrPt2 relaxed with PBEsol.

POSCAR file:
```
CaCrPt2
1.0
6.479 0.000 0.000
0.000 6.479 0.000
0.000 0.000 6.479
Ca Cr Pt
4 4 8
Direct
0.000 0.000 0.000 Ca
0.000 0.500 0.500 Ca
0.500 0.000 0.500 Ca
0.500 0.500 0.000 Ca
0.000 0.000 0.500 Cr
0.000 0.500 0.000 Cr
0.500 0.000 0.000 Cr
0.500 0.500 0.500 Cr
0.250 0.250 0.250 Pt
0.250 0.250 0.750 Pt
0.250 0.750 0.250 Pt
0.250 0.750 0.750 Pt
0.750 0.250 0.250 Pt
0.750 0.250 0.750 Pt
0.750 0.750 0.250 Pt
0.750 0.750 0.750 Pt
```

Calculated values
**Energy of formation**: -0.494 eV per atom
**Density**: 11.8 g/cm3
**Energy**: -42.603 eV/atom
**Polymorph energy (0 for the lowest one)**: 115 meV/atom


No. 2
VASP calculation (meta-GGA SCAN) on a crystal of Sb2RuPtI relaxed with PBEsol.

POSCAR file:
```
Sb2RuPtI
1.0
5.109 0.000 0.000
0.000 5.109 0.000
0.000 0.000 5.337
Sb Ru Pt I
2 1 1 1
Direct
0.000 0.500 0.000 Sb
0.500 0.000 0.000 Sb
0.000 0.000 0.500 Ru
0.500 0.500 0.000 Pt
0.500 0.500 0.500 I
```

Calculated values
**Density**: 7.9 g/cm3
**Energy**: -42.191 eV/atom
**Raw formation energy**: 1.065 eV/atom


No. 3
VASP calculation (meta-GGA SCAN) on a crystal of Cr4AsW relaxed with PBEsol.

POSCAR file:
```
Cr4AsW
1.0
0.000 3.344 3.344
3.344 0.000 3.344
3.344 3.344 0.000
Cr As W
4 1 1
Direct
0.124 0.124 0.124 Cr
0.124 0.124 0.628 Cr
0.124 0.628 0.124 Cr
0.628 0.124 0.124 Cr
0.750 0.750 0.750 As
0.500 0.500 0.500 W
```

Calculated values
**Energy of formation**: 0.269 eV per atom
**Density**: 10.4 g/cm3
**Energy**: -26.967 eV/atom


No. 4
VASP calculation (meta-GGA SCAN) on a crystal of BeHg2Os relaxed with PBEsol.

POSCAR file:
```
BeHg2Os
1.0
6.342 0.000 0.000
0.000 6.342 0.000
0.000 0.000 6.342
Be Hg Os
4 8 4
Direct
0.000 0.000 0.000 Be
0.000 0.500 0.500 Be
0.500 0.000 0.500 Be
0.500 0.500 0.000 Be
0.000 0.000 0.500 Hg
0.000 0.500 0.000 Hg
0.250 0.250 0.250 Hg
0.250 0.750 0.750 Hg
0.500 0.000 0.000 Hg
0.500 0.500 0.500 Hg
0.750 0.250 0.750 Hg
0.750 0.750 0.250 Hg
0.250 0.250 0.750 Os
0.250 0.750 0.250 Os
0.750 0.250 0.250 Os
0.750 0.750 0.750 Os
```

Calculated values
**Energy of formation**: 0.935 eV per atom
**Density**: 15.6 g/cm3
**Energy**: -52.206 eV/atom


Question: Which value of energy does entry 1 give?
Answer: -42.603 eV/atom


Question: The lowest energy belongs to which entry?
Answer: BeHg2Os


Question: The lowest density belongs to which entry?
Answer: Sb2RuPtI